A plane-wave DFT calculation with PBE was carried out for crystalline Ce3YTm2As6 at its relaxed geometry.

Results
- ΔE_f: -1.472 eV/atom

a = 7.197 Å, b = 7.197 Å, c = 7.175 Å
α = 99.63°, β = 99.63°, γ = 120.00°
Fractional positions:
Ce (0.166, 0.834, 0.500)
Ce (0.834, 0.166, 0.500)
Ce (0.500, 0.500, 0.500)
Y (0.000, 0.000, 0.000)
Tm (0.333, 0.667, 0.000)
Tm (0.667, 0.333, 0.000)
As (0.919, 0.583, 0.757)
As (0.745, 0.745, 0.243)
As (0.081, 0.417, 0.243)
As (0.583, 0.919, 0.757)
As (0.255, 0.255, 0.757)
As (0.417, 0.081, 0.243)



A plane-wave DFT calculation with PBE was carried out for crystalline Ce2TmZrAs4 at its relaxed geometry.

Results
- ΔE_f: -1.378 eV/atom

a = 4.080 Å, b = 7.075 Å, c = 7.070 Å
α = 109.40°, β = 90.00°, γ = 90.00°
Fractional positions:
Ce (0.500, 0.000, 0.500)
Ce (0.000, 0.500, 0.500)
Tm (0.500, 0.500, 0.000)
Zr (0.000, 0.000, 0.000)
As (0.500, 0.240, 0.234)
As (0.500, 0.760, 0.766)
As (0.000, 0.249, 0.763)
As (0.000, 0.751, 0.237)



A plane-wave DFT calculation with PBE was carried out for crystalline CeTm2ZrAs4 at its relaxed geometry.

Results
- ΔE_f: -1.372 eV/atom

a = 4.046 Å, b = 7.008 Å, c = 7.001 Å
α = 109.31°, β = 90.00°, γ = 90.00°
Fractional positions:
Ce (0.000, 0.000, 0.000)
Tm (0.500, 0.000, 0.500)
Tm (0.000, 0.500, 0.500)
Zr (0.500, 0.500, 0.000)
As (0.500, 0.260, 0.252)
As (0.500, 0.740, 0.748)
As (0.000, 0.260, 0.755)
As (0.000, 0.740, 0.245)



A plane-wave DFT calculation with PBE was carried out for crystalline Ce3TmZr2As6 at its relaxed geometry.

Results
- ΔE_f: -1.352 eV/atom

a = 7.033 Å, b = 7.033 Å, c = 7.042 Å
α = 99.59°, β = 99.59°, γ = 119.99°
Fractional positions:
Ce (0.165, 0.835, 0.500)
Ce (0.835, 0.165, 0.500)
Ce (0.500, 0.500, 0.500)
Tm (0.000, 0.000, 0.000)
Zr (0.333, 0.667, 0.000)
Zr (0.667, 0.333, 0.000)
As (0.922, 0.583, 0.765)
As (0.739, 0.739, 0.232)
As (0.078, 0.417, 0.235)
As (0.583, 0.922, 0.765)
As (0.261, 0.261, 0.768)
As (0.417, 0.078, 0.235)



A plane-wave DFT calculation with PBE was carried out for crystalline Ce4UAs5 at its relaxed geometry.

Results
- ΔE_f: -1.274 eV/atom

a = 5.928 Å, b = 7.261 Å, c = 7.261 Å
α = 80.41°, β = 65.91°, γ = 65.91°
Fractional positions:
Ce (0.403, 0.398, 0.798)
Ce (0.801, 0.798, 0.602)
Ce (0.201, 0.202, 0.398)
Ce (0.599, 0.602, 0.202)
U (0.001, 0.000, 0.000)
As (0.903, 0.393, 0.804)
As (0.295, 0.804, 0.607)
As (0.707, 0.196, 0.393)
As (0.099, 0.607, 0.196)
As (0.501, 0.000, 0.000)



A plane-wave DFT calculation with PBE was carried out for crystalline Ce3UAs4 at its relaxed geometry.

Results
- Excess energy over the best structure of this formula in the dataset: 5 meV per atom
- ΔE_f: -1.236 eV/atom

a = 5.916 Å, b = 5.916 Å, c = 7.246 Å
α = 114.09°, β = 114.09°, γ = 90.00°
Fractional positions:
Ce (0.500, 0.500, 0.000)
Ce (0.750, 0.250, 0.500)
Ce (0.250, 0.750, 0.500)
U (0.000, 0.000, 0.000)
As (0.755, 0.755, 0.509)
As (0.245, 0.245, 0.491)
As (0.500, 0.000, 0.000)
As (0.000, 0.500, 0.000)



A plane-wave DFT calculation with PBE was carried out for crystalline Ce3UAs4 at its relaxed geometry.

Results
- Excess energy over the best structure of this formula in the dataset: 0 meV per atom
- ΔE_f: -1.240 eV/atom

a = 4.172 Å, b = 7.256 Å, c = 7.256 Å
α = 109.29°, β = 90.00°, γ = 90.00°
Fractional positions:
As (0.000, 0.243, 0.243)
As (0.500, 0.754, 0.246)
As (0.000, 0.757, 0.757)
As (0.500, 0.246, 0.754)
U (0.500, 0.000, 0.000)
Ce (0.000, 0.000, 0.500)
Ce (0.500, 0.500, 0.500)
Ce (0.000, 0.500, 0.000)



A plane-wave DFT calculation with PBE was carried out for crystalline CeUAs3 at its relaxed geometry.

Results
- ΔE_f: -0.728 eV/atom

a = 5.606 Å, b = 8.298 Å, c = 5.735 Å
α = 90.00°, β = 90.00°, γ = 109.68°
Fractional positions:
Ce (0.627, 0.253, 0.500)
Ce (0.373, 0.747, 0.500)
U (0.848, 0.695, 0.000)
U (0.152, 0.305, 0.000)
As (0.817, 0.633, 0.500)
As (0.337, 0.674, 0.000)
As (0.000, 0.000, 0.715)
As (0.183, 0.367, 0.500)
As (0.000, 0.000, 0.285)
As (0.663, 0.326, 0.000)



A plane-wave DFT calculation with PBE was carried out for crystalline Ce4UAs6 at its relaxed geometry.

Results
- ΔE_f: -1.106 eV/atom

a = 8.240 Å, b = 8.240 Å, c = 8.240 Å
α = 90.89°, β = 90.89°, γ = 89.11°
Fractional positions:
Ce (0.369, 0.131, 0.250)
Ce (0.869, 0.250, 0.369)
Ce (0.250, 0.631, 0.131)
Ce (0.250, 0.250, 0.750)
Ce (0.750, 0.750, 0.250)
Ce (0.750, 0.369, 0.869)
Ce (0.131, 0.750, 0.631)
Ce (0.631, 0.869, 0.750)
U (0.500, 0.500, 0.500)
U (0.000, 0.000, 0.000)
As (0.681, 0.067, 0.084)
As (0.084, 0.319, 0.067)
As (0.584, 0.433, 0.181)
As (0.933, 0.084, 0.681)
As (0.567, 0.181, 0.584)
As (0.181, 0.416, 0.433)
As (0.819, 0.584, 0.567)
As (0.433, 0.819, 0.416)
As (0.067, 0.916, 0.319)
As (0.416, 0.567, 0.819)
As (0.916, 0.681, 0.933)
As (0.319, 0.933, 0.916)



A plane-wave DFT calculation with PBE was carried out for crystalline CeU4As5 at its relaxed geometry.

Results
- ΔE_f: -0.852 eV/atom

a = 4.084 Å, b = 5.821 Å, c = 10.956 Å
α = 105.41°, β = 100.74°, γ = 90.00°
Fractional positions:
Ce (0.000, 0.000, 0.000)
U (0.400, 0.400, 0.800)
U (0.798, 0.798, 0.597)
U (0.202, 0.202, 0.403)
U (0.600, 0.600, 0.200)
As (0.603, 0.103, 0.206)
As (0.801, 0.301, 0.602)
As (0.199, 0.699, 0.398)
As (0.000, 0.500, 0.000)
As (0.397, 0.897, 0.794)



A plane-wave DFT calculation with PBE was carried out for crystalline Ce5U3As8 at its relaxed geometry.

Results
- ΔE_f: -1.153 eV/atom

a = 8.309 Å, b = 8.309 Å, c = 8.373 Å
α = 60.25°, β = 60.25°, γ = 60.00°
Fractional positions:
Ce (0.500, 0.000, 0.000)
Ce (0.500, 0.500, 0.000)
Ce (0.000, 0.000, 0.000)
Ce (0.000, 0.500, 0.000)
Ce (0.500, 0.500, 0.500)
U (0.500, 0.000, 0.500)
U (0.000, 0.000, 0.500)
U (0.000, 0.500, 0.500)
As (0.250, 0.250, 0.743)
As (0.250, 0.757, 0.743)
As (0.757, 0.250, 0.743)
As (0.753, 0.753, 0.741)
As (0.750, 0.750, 0.257)
As (0.750, 0.243, 0.257)
As (0.243, 0.750, 0.257)
As (0.247, 0.247, 0.259)



A plane-wave DFT calculation with PBE was carried out for crystalline Ce2UAs4 at its relaxed geometry.

Results
- ΔE_f: -0.788 eV/atom

a = 3.963 Å, b = 3.963 Å, c = 11.282 Å
α = 90.00°, β = 90.00°, γ = 90.00°
Fractional positions:
Ce (0.500, 0.000, 0.709)
Ce (0.000, 0.500, 0.291)
U (0.500, 0.500, 0.000)
As (0.500, 0.000, 0.185)
As (0.000, 0.500, 0.815)
As (0.500, 0.500, 0.500)
As (0.000, 0.000, 0.500)